First-principles (GGA-PBEsol) data for a geometry-optimized KIn2Os structure, as listed in the Alexandria database.

Output
DOS(E_F) (states/eV per cell): 3.2
E_form (eV/f.u.): 3.51
Total moment (μB per formula unit): 0.00
Crystal system: tetragonal
E_tot (eV/atom): -3.952
Symmetry: P4/mmm (123)

```
KIn2Os
1.0
5.048 0.000 0.000
0.000 5.048 0.000
0.000 0.000 3.246
K In Os
1 2 1
direct
0.000 0.000 0.000
0.000 0.500 0.500
0.500 0.000 0.500
0.500 0.500 0.000
```